Entry 1:
! Dy3YAu2 (PBE, relaxed); values from VASP
! - polymorph energy (0 for the lowest one) (meV/atom) = 183
! - energy (eV/atom) = -4.9297
! - formation energy from the elements (eV/atom) = -0.4589
&SYSTEM
  ibrav = 0, nat = 12, ntyp = 3
/
ATOMIC_SPECIES
Dy 162.50 Dy.upf
Y 88.91 Y.upf
Au 196.97 Au.upf
ATOMIC_POSITIONS crystal
Dy 0.5000 0.2500 0.0000
Dy 0.5000 0.7500 0.0000
Dy 0.7667 0.0167 0.5334
Dy 0.2333 0.4833 0.4666
Dy 0.2333 0.9833 0.4666
Dy 0.7667 0.5167 0.5334
Y 0.0000 0.5000 0.0000
Y 0.0000 0.0000 0.0000
Au 0.5632 0.3582 0.7164
Au 0.8468 0.1418 0.2836
Au 0.1532 0.8582 0.7164
Au 0.4368 0.6418 0.2836
CELL_PARAMETERS angstrom
-4.7676 4.8451 -1.8810
-5.1335 -3.6053 3.7248
6.4691 3.0755 4.7479

***

Entry 2:
! Dy4YAu2 (PBE, relaxed); values from VASP
! - energy (eV/atom) = -4.7478
! - formation energy from the elements (eV/atom) = -0.2582
&SYSTEM
  ibrav = 0, nat = 7, ntyp = 3
/
ATOMIC_SPECIES
Dy 162.50 Dy.upf
Y 88.91 Y.upf
Au 196.97 Au.upf
ATOMIC_POSITIONS crystal
Dy 0.7008 0.7008 0.8975
Dy 0.8986 0.8986 0.3043
Dy 0.2992 0.2992 0.1025
Dy 0.1014 0.1014 0.6957
Y 0.5000 0.5000 0.5000
Au 0.6015 0.6015 0.1956
Au 0.3985 0.3985 0.8044
CELL_PARAMETERS angstrom
4.9012 0.0000 0.0000
2.4506 4.2446 0.0000
2.4506 1.4149 10.2108

***

Entry 3:
! Dy3YAu4 (PBE, relaxed); values from VASP
! - energy (eV/atom) = -5.0328
! - formation energy from the elements (eV/atom) = -0.8604
&SYSTEM
  ibrav = 0, nat = 8, ntyp = 3
/
ATOMIC_SPECIES
Y 88.91 Y.upf
Au 196.97 Au.upf
Dy 162.50 Dy.upf
ATOMIC_POSITIONS crystal
Y 0.0000 0.0000 0.0000
Au 0.8746 0.8746 0.3762
Au 0.3754 0.3754 0.8737
Au 0.1254 0.1254 0.6238
Au 0.6246 0.6246 0.1263
Dy 0.2499 0.2499 0.2502
Dy 0.7501 0.7501 0.7498
Dy 0.5000 0.5000 0.5000
CELL_PARAMETERS angstrom
-3.3732 3.6257 -1.1744
-3.4293 -0.8080 -3.6730
-7.5722 -2.1702 4.0209

***

Entry 4:
! Dy2YAu4 (PBE, relaxed); values from VASP
! - energy (eV/atom) = -4.7820
! - formation energy from the elements (eV/atom) = -0.6709
&SYSTEM
  ibrav = 0, nat = 7, ntyp = 3
/
ATOMIC_SPECIES
Dy 162.50 Dy.upf
Y 88.91 Y.upf
Au 196.97 Au.upf
ATOMIC_POSITIONS crystal
Dy 0.5000 0.5000 0.0000
Dy 0.5000 0.0000 0.5000
Y 0.0000 0.0000 0.0000
Au 0.5000 0.0000 0.0000
Au 0.5000 0.5000 0.5000
Au 0.0000 0.0000 0.5000
Au 0.0000 0.5000 0.0000
CELL_PARAMETERS angstrom
5.7633 0.0008 -2.0276
-2.8724 4.9855 -2.0543
0.0005 -0.0008 6.1095

***

Entry 5:
! Dy4YAu5 (PBE, relaxed); values from VASP
! - energy (eV/atom) = -4.9898
! - formation energy from the elements (eV/atom) = -0.8638
&SYSTEM
  ibrav = 0, nat = 10, ntyp = 3
/
ATOMIC_SPECIES
Dy 162.50 Dy.upf
Y 88.91 Y.upf
Au 196.97 Au.upf
ATOMIC_POSITIONS crystal
Dy 0.0000 0.0000 0.2003
Dy 0.0000 0.0000 0.4001
Dy 0.0000 0.0000 0.5999
Dy 0.0000 0.0000 0.7997
Y 0.0000 0.0000 0.0000
Au 0.5000 0.5000 0.1010
Au 0.5000 0.5000 0.3002
Au 0.5000 0.5000 0.5000
Au 0.5000 0.5000 0.6998
Au 0.5000 0.5000 0.8990
CELL_PARAMETERS angstrom
3.5725 0.0000 0.0000
0.0000 3.5725 0.0000
0.0000 0.0000 18.2765

***

Entry 6:
! Dy2YAu (PBE, relaxed); values from VASP
! - polymorph energy (0 for the lowest one) (meV/atom) = 56
! - energy (eV/atom) = -5.1320
! - formation energy from the elements (eV/atom) = -0.3956
&SYSTEM
  ibrav = 0, nat = 4, ntyp = 3
/
ATOMIC_SPECIES
Y 88.91 Y.upf
Au 196.97 Au.upf
Dy 162.50 Dy.upf
ATOMIC_POSITIONS crystal
Y 0.5000 0.5000 0.5000
Au 0.5000 0.5000 0.0000
Dy 0.0000 0.0000 0.7947
Dy 0.0000 0.0000 0.2053
CELL_PARAMETERS angstrom
-2.9164 -1.6147 1.3552
1.6797 -0.3821 3.1594
-3.0618 7.6751 2.5561

***

Entry 7:
! Dy2YAu (PBE, relaxed); values from VASP
! - polymorph energy (0 for the lowest one) (meV/atom) = 41
! - energy (eV/atom) = -5.1471
! - formation energy from the elements (eV/atom) = -0.4107
&SYSTEM
  ibrav = 0, nat = 8, ntyp = 3
/
ATOMIC_SPECIES
Dy 162.50 Dy.upf
Y 88.91 Y.upf
Au 196.97 Au.upf
ATOMIC_POSITIONS crystal
Dy 0.3558 0.7115 0.5394
Dy 0.6442 0.2885 0.4606
Dy 0.3558 0.7115 0.9606
Dy 0.6442 0.2885 0.0394
Y 0.9544 0.9084 0.2500
Y 0.0456 0.0916 0.7500
Au 0.7904 0.5804 0.7500
Au 0.2096 0.4196 0.2500
CELL_PARAMETERS angstrom
4.8661 0.0024 0.0000
-2.4302 5.8603 0.0000
0.0000 0.0000 8.0066

***

Entry 8:
! Dy3YAu2 (PBE, relaxed); values from VASP
! - polymorph energy (0 for the lowest one) (meV/atom) = 0
! - energy (eV/atom) = -5.1125
! - formation energy from the elements (eV/atom) = -0.6416
&SYSTEM
  ibrav = 0, nat = 12, ntyp = 3
/
ATOMIC_SPECIES
Dy 162.50 Dy.upf
Y 88.91 Y.upf
Au 196.97 Au.upf
ATOMIC_POSITIONS crystal
Dy 0.0000 0.4870 0.9255
Dy 0.0000 0.9870 0.0745
Dy 0.5000 0.6495 0.1679
Dy 0.5000 0.1495 0.8321
Dy 0.0000 0.3509 0.3302
Dy 0.0000 0.8509 0.6698
Y 0.5000 0.5129 0.5724
Y 0.5000 0.0129 0.4276
Au 0.5000 0.7428 0.8483
Au 0.5000 0.2428 0.1517
Au 0.0000 0.2569 0.6513
Au 0.0000 0.7569 0.3487
CELL_PARAMETERS angstrom
-4.6502 -1.6109 0.6904
0.4666 -3.8962 -5.9486
3.1015 -6.9095 4.7689

***

Entry 9:
! Dy3YAu (PBE, relaxed); values from VASP
! - energy (eV/atom) = -5.0046
! - formation energy from the elements (eV/atom) = -0.2951
&SYSTEM
  ibrav = 0, nat = 10, ntyp = 3
/
ATOMIC_SPECIES
Dy 162.50 Dy.upf
Y 88.91 Y.upf
Au 196.97 Au.upf
ATOMIC_POSITIONS crystal
Dy 0.3756 0.4513 0.1764
Dy 0.3755 0.9746 0.0107
Dy 0.8756 0.5347 0.4457
Dy 0.8756 0.9014 0.7252
Dy 0.8757 0.3782 0.8909
Dy 0.3757 0.8182 0.4558
Y 0.3756 0.2711 0.6161
Y 0.8756 0.0817 0.2854
Au 0.3757 0.6246 0.7993
Au 0.8755 0.7281 0.1022
CELL_PARAMETERS angstrom
-3.2114 3.8037 -1.8229
-0.2111 -2.9849 -5.8535
-6.5651 -4.9886 1.1561

***

Entry 10:
! DyZn2Au3 (PBE, relaxed); values from VASP
! - energy (eV/atom) = -3.3494
! - formation energy from the elements (eV/atom) = -0.5190
&SYSTEM
  ibrav = 0, nat = 12, ntyp = 3
/
ATOMIC_SPECIES
Dy 162.50 Dy.upf
Zn 65.41 Zn.upf
Au 196.97 Au.upf
ATOMIC_POSITIONS crystal
Dy 0.0000 0.0000 0.2500
Dy 0.0000 0.0000 0.7500
Zn 0.6667 0.3333 0.4167
Zn 0.3333 0.6667 0.5833
Zn 0.3333 0.6667 0.9167
Zn 0.6667 0.3333 0.0833
Au 0.0000 0.0000 0.5000
Au 0.0000 0.0000 0.0000
Au 0.6667 0.3333 0.6320
Au 0.3333 0.6667 0.1320
Au 0.6667 0.3333 0.8680
Au 0.3333 0.6667 0.3680
CELL_PARAMETERS angstrom
4.5464 0.0000 0.0000
-2.2732 3.9373 0.0000
0.0000 0.0000 12.7213

***

Entry 11:
! Dy2Zn5Au3 (PBE, relaxed); values from VASP
! - polymorph energy (0 for the lowest one) (meV/atom) = 0
! - energy (eV/atom) = -3.0263
! - formation energy from the elements (eV/atom) = -0.4857
&SYSTEM
  ibrav = 0, nat = 20, ntyp = 3
/
ATOMIC_SPECIES
Dy 162.50 Dy.upf
Zn 65.41 Zn.upf
Au 196.97 Au.upf
ATOMIC_POSITIONS crystal
Dy 0.4850 0.7611 0.9700
Dy 0.1756 0.7195 0.3511
Dy 0.8244 0.2195 0.6489
Dy 0.5150 0.2611 0.0300
Zn 0.3921 0.4406 0.7841
Zn 0.2919 0.5079 0.5837
Zn 0.7081 0.0079 0.4163
Zn 0.1244 0.2681 0.2488
Zn 0.2960 0.8928 0.5921
Zn 0.9478 0.0694 0.8957
Zn 0.7040 0.3928 0.4079
Zn 0.8756 0.7681 0.7512
Zn 0.0522 0.5694 0.1043
Zn 0.6079 0.9406 0.2159
Au 0.7698 0.6964 0.5396
Au 0.6070 0.5345 0.2140
Au 0.0524 0.9746 0.1047
Au 0.2302 0.1964 0.4604
Au 0.9476 0.4746 0.8953
Au 0.3930 0.0345 0.7860
CELL_PARAMETERS angstrom
4.4183 0.0000 -0.7526
0.0000 6.8547 0.0000
-0.1292 0.0000 12.5866

***

Entry 12:
! Dy2Zn3Au5 (PBE, relaxed); values from VASP
! - polymorph energy (0 for the lowest one) (meV/atom) = 47
! - energy (eV/atom) = -3.4439
! - formation energy from the elements (eV/atom) = -0.5026
&SYSTEM
  ibrav = 0, nat = 20, ntyp = 3
/
ATOMIC_SPECIES
Dy 162.50 Dy.upf
Zn 65.41 Zn.upf
Au 196.97 Au.upf
ATOMIC_POSITIONS crystal
Dy 0.1472 0.5727 0.1329
Dy 0.6472 0.1329 0.5727
Dy 0.8528 0.4273 0.8671
Dy 0.3528 0.8671 0.4273
Zn 0.3466 0.5686 0.7382
Zn 0.8466 0.7382 0.5686
Zn 0.6534 0.4314 0.2618
Zn 0.1534 0.2618 0.4314
Zn 0.2500 0.0000 0.0000
Zn 0.7500 0.0000 0.0000
Au 0.4269 0.2680 0.8781
Au 0.9269 0.8781 0.2680
Au 0.5731 0.7320 0.1219
Au 0.0731 0.1219 0.7320
Au 0.4493 0.8007 0.8007
Au 0.5507 0.1993 0.1993
Au 0.7500 0.5000 0.5000
Au 0.2500 0.5000 0.5000
Au 0.0507 0.1993 0.1993
Au 0.9493 0.8007 0.8007
CELL_PARAMETERS angstrom
5.6635 0.0000 0.0000
2.8318 8.4799 0.4483
2.8318 1.7509 8.3093

***

Entry 13:
! DyZn4Au8 (PBE, relaxed); values from VASP
! - polymorph energy (0 for the lowest one) (meV/atom) = 270
! - energy (eV/atom) = -2.8393
! - formation energy from the elements (eV/atom) = -0.0764
&SYSTEM
  ibrav = 0, nat = 13, ntyp = 3
/
ATOMIC_SPECIES
Dy 162.50 Dy.upf
Zn 65.41 Zn.upf
Au 196.97 Au.upf
ATOMIC_POSITIONS crystal
Dy 0.0000 0.0000 0.0000
Zn 0.5000 0.5000 0.5000
Zn 0.5000 0.5000 0.0000
Zn 0.0000 0.5000 0.5000
Zn 0.5000 0.0000 0.5000
Au 0.8482 0.2593 0.2593
Au 0.2593 0.2593 0.8482
Au 0.2593 0.8482 0.2593
Au 0.2509 0.2509 0.2509
Au 0.7491 0.7491 0.7491
Au 0.7407 0.7407 0.1518
Au 0.7407 0.1518 0.7407
Au 0.1518 0.7407 0.7407
CELL_PARAMETERS angstrom
7.3997 0.2575 0.1838
3.7925 6.3591 0.1838
3.7925 2.2421 5.9536

***

Entry 14:
! DyZnAu3 (PBE, relaxed); values from VASP
! - energy (eV/atom) = -3.6825
! - formation energy from the elements (eV/atom) = -0.5409
&SYSTEM
  ibrav = 0, nat = 20, ntyp = 3
/
ATOMIC_SPECIES
Dy 162.50 Dy.upf
Zn 65.41 Zn.upf
Au 196.97 Au.upf
ATOMIC_POSITIONS crystal
Dy 0.7500 0.8003 0.0004
Dy 0.2500 0.6997 0.5004
Dy 0.7500 0.3003 0.4996
Dy 0.2500 0.1997 0.9996
Zn 0.2500 0.1140 0.6517
Zn 0.2500 0.6140 0.8483
Zn 0.7500 0.3860 0.1517
Zn 0.7500 0.8860 0.3483
Au 0.2500 0.5594 0.0910
Au 0.7500 0.4406 0.9090
Au 0.2500 0.0594 0.4090
Au 0.7500 0.9406 0.5910
Au 0.2500 0.4110 0.6668
Au 0.7500 0.0890 0.1668
Au 0.2500 0.9110 0.8332
Au 0.7500 0.6455 0.6963
Au 0.2500 0.3545 0.3037
Au 0.7500 0.1455 0.8037
Au 0.7500 0.5890 0.3332
Au 0.2500 0.8545 0.1963
CELL_PARAMETERS angstrom
4.3887 0.0000 0.0000
0.0000 8.7062 0.0000
0.0000 0.0000 10.5886

***

Entry 15:
! Dy2Zn15Au2 (PBE, relaxed); values from VASP
! - energy (eV/atom) = -2.1134
! - formation energy from the elements (eV/atom) = -0.2783
&SYSTEM
  ibrav = 0, nat = 19, ntyp = 3
/
ATOMIC_SPECIES
Dy 162.50 Dy.upf
Zn 65.41 Zn.upf
Au 196.97 Au.upf
ATOMIC_POSITIONS crystal
Dy 0.3398 0.3398 0.3398
Dy 0.6602 0.6602 0.6602
Zn 0.5000 0.0000 0.0000
Zn 0.0000 0.0000 0.5000
Zn 0.0000 0.5000 0.0000
Zn 0.0000 0.7030 0.2970
Zn 0.7030 0.2970 0.0000
Zn 0.2970 0.0000 0.7030
Zn 0.2970 0.7030 0.0000
Zn 0.7030 0.0000 0.2970
Zn 0.0000 0.2970 0.7030
Zn 0.1641 0.6462 0.6462
Zn 0.6462 0.6462 0.1641
Zn 0.6462 0.1641 0.6462
Zn 0.8359 0.3538 0.3538
Zn 0.3538 0.3538 0.8359
Zn 0.3538 0.8359 0.3538
Au 0.1111 0.1111 0.1111
Au 0.8889 0.8889 0.8889
CELL_PARAMETERS angstrom
6.8323 -0.0182 -0.0162
0.8684 6.7769 -0.0162
0.8684 0.7621 6.7339

***

Entry 16:
! DyZn2Au10 (PBE, relaxed); values from VASP
! - energy (eV/atom) = -3.3217
! - formation energy from the elements (eV/atom) = -0.2506
&SYSTEM
  ibrav = 0, nat = 13, ntyp = 3
/
ATOMIC_SPECIES
Dy 162.50 Dy.upf
Zn 65.41 Zn.upf
Au 196.97 Au.upf
ATOMIC_POSITIONS crystal
Dy 0.0000 0.0000 0.0000
Zn 0.0000 0.5000 0.0000
Zn 0.5000 0.5000 0.0000
Au 0.3318 0.6548 0.6817
Au 0.6682 0.3452 0.3183
Au 0.9866 0.3452 0.6817
Au 0.0134 0.6548 0.3183
Au 0.0000 0.0000 0.5000
Au 0.5000 0.0000 0.5000
Au 0.2858 0.2212 0.2072
Au 0.7142 0.7788 0.7928
Au 0.5070 0.7788 0.2072
Au 0.4930 0.2212 0.7928
CELL_PARAMETERS angstrom
5.5314 0.0000 0.0000
2.7657 6.5941 0.0000
2.7657 0.0000 6.7346

***

Entry 17:
! Dy2Zn3Au2 (PBE, relaxed); values from VASP
! - energy (eV/atom) = -3.3742
! - formation energy from the elements (eV/atom) = -0.5770
&SYSTEM
  ibrav = 0, nat = 7, ntyp = 3
/
ATOMIC_SPECIES
Dy 162.50 Dy.upf
Zn 65.41 Zn.upf
Au 196.97 Au.upf
ATOMIC_POSITIONS crystal
Dy 0.8534 0.7068 0.2323
Dy 0.1466 0.2932 0.7677
Zn 0.5000 0.0000 0.0000
Zn 0.6000 0.2000 0.4216
Zn 0.4000 0.8000 0.5784
Au 0.8453 0.6906 0.7732
Au 0.1547 0.3094 0.2268
CELL_PARAMETERS angstrom
4.5287 0.0000 0.0000
-2.2644 4.9429 0.1455
0.0000 -2.4648 6.1725

***

Entry 18:
! Dy8ZnAu2 (PBE, relaxed); values from VASP
! - energy (eV/atom) = -4.4318
! - formation energy from the elements (eV/atom) = -0.3732
&SYSTEM
  ibrav = 0, nat = 11, ntyp = 3
/
ATOMIC_SPECIES
Dy 162.50 Dy.upf
Zn 65.41 Zn.upf
Au 196.97 Au.upf
ATOMIC_POSITIONS crystal
Dy 0.4080 0.5426 0.8160
Dy 0.6670 0.9751 0.3339
Dy 0.8009 0.6813 0.6018
Dy 0.9708 0.2205 0.9415
Dy 0.1991 0.3187 0.3982
Dy 0.3330 0.0249 0.6661
Dy 0.5920 0.4574 0.1840
Dy 0.0292 0.7795 0.0585
Zn 0.5000 0.0000 0.0000
Au 0.8157 0.2746 0.6315
Au 0.1843 0.7254 0.3685
CELL_PARAMETERS angstrom
-4.6500 2.1250 0.2895
-1.3182 -3.6543 5.6491
5.9807 6.5604 2.6205

***

Entry 19:
! DyZn10Au2 (PBE, relaxed); values from VASP
! - energy (eV/atom) = -2.0388
! - formation energy from the elements (eV/atom) = -0.2006
&SYSTEM
  ibrav = 0, nat = 13, ntyp = 3
/
ATOMIC_SPECIES
Dy 162.50 Dy.upf
Zn 65.41 Zn.upf
Au 196.97 Au.upf
ATOMIC_POSITIONS crystal
Dy 0.0000 0.0000 0.0000
Zn 0.3546 0.6498 0.6409
Zn 0.6454 0.3502 0.3591
Zn 0.0044 0.3502 0.6409
Zn 0.9956 0.6498 0.3591
Zn 0.0000 0.0000 0.5000
Zn 0.5000 0.0000 0.5000
Zn 0.2852 0.2089 0.2207
Zn 0.7148 0.7911 0.7793
Zn 0.4941 0.7911 0.2207
Zn 0.5059 0.2089 0.7793
Au 0.0000 0.5000 0.0000
Au 0.5000 0.5000 0.0000
CELL_PARAMETERS angstrom
-5.0905 -1.8521 0.4429
-0.3948 -6.1989 2.8876
-3.0282 1.7693 5.9417

***

Entry 20:
! Dy3Zn8Au3 (PBE, relaxed); values from VASP
! - polymorph energy (0 for the lowest one) (meV/atom) = 32
! - energy (eV/atom) = -2.8555
! - formation energy from the elements (eV/atom) = -0.4391
&SYSTEM
  ibrav = 0, nat = 14, ntyp = 3
/
ATOMIC_SPECIES
Dy 162.50 Dy.upf
Zn 65.41 Zn.upf
Au 196.97 Au.upf
ATOMIC_POSITIONS crystal
Dy 0.5000 0.5000 0.5000
Dy 0.8146 0.1854 0.1854
Dy 0.1854 0.8146 0.8146
Zn 0.6331 0.0922 0.6416
Zn 0.3669 0.9078 0.3584
Zn 0.6331 0.6416 0.0922
Zn 0.3669 0.3584 0.9078
Zn 0.8220 0.8136 0.5424
Zn 0.1780 0.1864 0.4576
Zn 0.8220 0.5424 0.8136
Zn 0.1780 0.4576 0.1864
Au 0.5000 0.0000 0.0000
Au 0.0000 0.7681 0.2319
Au 0.0000 0.2319 0.7681
CELL_PARAMETERS angstrom
4.2975 0.0000 0.0000
2.1487 8.0219 0.3101
2.1487 2.4824 7.6344